No. 1
Density functional theory data (PBE) for PrEu2Hg after structural relaxation.

Computed properties:
Polymorph energy (0 for the lowest one), meV per atom: 218

```
data_PrEu2Hg
_chemical_formula_sum 'Pr3 Eu6 Hg3'
_cell_length_a 3.6977
_cell_length_b 3.6977
_cell_length_c 36.3709
_cell_angle_alpha 90.00
_cell_angle_beta 90.00
_cell_angle_gamma 120.00
_symmetry_space_group_name_H-M 'R -3 m'
_symmetry_Int_Tables_number 166
_symmetry_space_group_name_Hall '-R 3 2"'
loop_
_atom_site_label
_atom_site_type_symbol
_atom_site_fract_x
_atom_site_fract_y
_atom_site_fract_z
_atom_site_occupancy
Pr1 Pr 0.0000 0.0000 0.0000 1
Eu1 Eu 0.0000 0.0000 0.0976 1
Hg1 Hg 0.0000 0.0000 0.5000 1
```

No. 2
Density functional theory data (PBE) for LiHgPb2 after structural relaxation.

Computed properties:
Energy, eV/atom: -2.51

```
data_LiHgPb2
_chemical_formula_sum 'Li2 Hg2 Pb4'
_cell_length_a 4.743
_cell_length_b 4.743
_cell_length_c 9.286
_cell_angle_alpha 90.00
_cell_angle_beta 90.00
_cell_angle_gamma 90.00
_symmetry_space_group_name_H-M 'I 4/m m m'
_symmetry_Int_Tables_number 139
_symmetry_space_group_name_Hall '-I 4 2'
loop_
_atom_site_label
_atom_site_type_symbol
_atom_site_fract_x
_atom_site_fract_y
_atom_site_fract_z
_atom_site_occupancy
Li1 Li 0.000 0.000 0.000 1
Hg1 Hg 0.000 0.000 0.500 1
Pb1 Pb 0.000 0.500 0.250 1
```

No. 3
Density functional theory data (PBE) for CaTl2Pb after structural relaxation.

Computed properties:
Energy, eV/atom: -2.84

```
data_CaTl2Pb
_chemical_formula_sum 'Ca2 Tl4 Pb2'
_cell_length_a 11.634
_cell_length_b 3.724
_cell_length_c 5.779
_cell_angle_alpha 90.00
_cell_angle_beta 104.10
_cell_angle_gamma 90.00
_symmetry_space_group_name_H-M 'C 1 2/m 1'
_symmetry_Int_Tables_number 12
_symmetry_space_group_name_Hall '-C 2y'
loop_
_atom_site_label
_atom_site_type_symbol
_atom_site_fract_x
_atom_site_fract_y
_atom_site_fract_z
_atom_site_occupancy
Ca1 Ca 0.000 0.000 0.000 1
Tl1 Tl 0.247 0.000 0.745 1
Pb1 Pb 0.000 0.500 0.500 1
```

No. 4
Density functional theory data (PBE) for K2NiI4 after structural relaxation.

Computed properties:
Energy relative to the elements, uncorrected, eV/atom: -0.83
Polymorph energy (0 for the lowest one), meV per atom: 0

```
data_K2NiI4
_chemical_formula_sum 'K4 Ni2 I8'
_cell_length_a 7.277
_cell_length_b 8.181
_cell_length_c 11.054
_cell_angle_alpha 90.00
_cell_angle_beta 90.97
_cell_angle_gamma 90.00
_symmetry_space_group_name_H-M 'P 1 21/m 1'
_symmetry_Int_Tables_number 11
_symmetry_space_group_name_Hall '-P 2yb'
loop_
_atom_site_label
_atom_site_type_symbol
_atom_site_fract_x
_atom_site_fract_y
_atom_site_fract_z
_atom_site_occupancy
K1 K 0.173 0.250 0.001 1
K2 K 0.174 0.250 0.503 1
Ni1 Ni 0.222 0.750 0.753 1
I1 I 0.003 0.003 0.250 1
I2 I 0.341 0.750 0.972 1
I3 I 0.342 0.750 0.537 1
```

No. 5
Density functional theory data (PBE) for YBe2W after structural relaxation.

Computed properties:
Polymorph energy (0 for the lowest one), meV per atom: 71

```
data_YBe2W
_chemical_formula_sum 'Y2 Be4 W2'
_cell_length_a 3.445
_cell_length_b 3.495
_cell_length_c 10.408
_cell_angle_alpha 90.00
_cell_angle_beta 90.00
_cell_angle_gamma 90.00
_symmetry_space_group_name_H-M 'A m m 2'
_symmetry_Int_Tables_number 38
_symmetry_space_group_name_Hall 'A 2 -2'
loop_
_atom_site_label
_atom_site_type_symbol
_atom_site_fract_x
_atom_site_fract_y
_atom_site_fract_z
_atom_site_occupancy
Y1 Y 0.000 0.000 0.000 1
Be1 Be 0.000 0.000 0.259 1
Be2 Be 0.500 0.000 0.371 1
W1 W 0.500 0.000 0.717 1
```

No. 6
Density functional theory data (PBE) for EuHoSiHg after structural relaxation.

Computed properties:
Energy relative to the elements, uncorrected, eV/atom: -0.43

```
data_EuHoSiHg
_chemical_formula_sum 'Eu4 Ho4 Si4 Hg4'
_cell_length_a 7.360
_cell_length_b 7.360
_cell_length_c 7.360
_cell_angle_alpha 90.00
_cell_angle_beta 90.00
_cell_angle_gamma 90.00
_symmetry_space_group_name_H-M 'F -4 3 m'
_symmetry_Int_Tables_number 216
_symmetry_space_group_name_Hall 'F -4 2 3'
loop_
_atom_site_label
_atom_site_type_symbol
_atom_site_fract_x
_atom_site_fract_y
_atom_site_fract_z
_atom_site_occupancy
Eu1 Eu 0.000 0.000 0.000 1
Ho1 Ho 0.000 0.000 0.500 1
Si1 Si 0.250 0.250 0.750 1
Hg1 Hg 0.250 0.250 0.250 1
```

Computed D(E_F), in the same sequence as the records: 4.5, 1.6, 2.3, 0.8, 3.4, 2.9 states/eV/f.u..